Here is AlCuCl2 after structural relaxation from Alexandria via LeMat-Bulk. Energies are from PBE.

Cell: 5.233 3.179 5.985 Å, 90.00 108.48 90.00°
Space group Pm (No. 6)
Symmetry-distinct sites (fractional):
Al1 0.000 0.000 0.000 x1
Cu1 0.715 0.500 0.127 x1
Cl1 0.081 0.500 0.732 x1
Cl2 0.423 0.000 0.265 x1

Properties
- Crystal system: monoclinic
- Formation energy from raw total energies: -646 meV per atom
- Energy above the lowest structure with this stoichiometry: 0 meV per atom